Record 1
The following is a DFT calculation (PBE) of a relaxed HfZnBr2 crystal.

* relative energy among the computed polymorphs: 0.269 eV/atom
* DOS at the Fermi energy: 6.52 states/eV per cell
* SG: I-42d
* theoretical density: 5.2 g cm⁻³
* energy relative to the elements, uncorrected: -104.2 kJ/mol of formula units
* crystal system: tetragonal
* size of the total moment: 1.7 μB per cell

a b c (Å): 9.5705 9.5705 7.3306
angles (deg): 49.25 49.25 90.00
With the nearest neighbours (Å) after each atom.
Fractional coordinates of all 8 atoms:
Zn 0.5000 0.5000 0.0000  2 Hf 2.82
Zn 0.2500 0.7500 0.5000  2 Hf 2.82
Hf 0.0000 0.0000 0.0000  4 Br 2.67, 2 Zn 2.82
Hf 0.7500 0.2500 0.5000  4 Br 2.67, 2 Zn 2.82
Br 0.7761 0.1250 0.2500  2 Hf 2.67
Br 0.9739 0.6250 0.2500  2 Hf 2.67
Br 0.3750 0.2239 0.7500  2 Hf 2.67
Br 0.8750 0.0261 0.7500  2 Hf 2.67

---

Record 2
The following is a DFT calculation (PBE) of a relaxed HfZn3Br crystal.

* relative energy among the computed polymorphs: 0.000 eV/atom
* DOS at the Fermi energy: 3.81 states/eV per cell
* SG: Pm-3m
* theoretical density: 4.7 g cm⁻³
* energy relative to the elements, uncorrected: 361.9 kJ/mol of formula units
* crystal system: cubic
* size of the total moment: 0.0 μB per cell

a b c (Å): 5.4350 5.4350 5.4350
angles (deg): 90.00 90.00 90.00
With the nearest neighbours (Å) after each atom.
Fractional coordinates of all 5 atoms:
Zn 0.0000 0.5000 0.0000  2 Hf 2.72
Zn 0.0000 0.0000 0.5000  2 Hf 2.72
Zn 0.5000 0.0000 0.0000  2 Hf 2.72
Hf 0.0000 0.0000 0.0000  6 Zn 2.72
Br 0.5000 0.5000 0.5000  12 Zn 3.84

---

Record 3
The following is a DFT calculation (PBE) of a relaxed HfZnBr2 crystal.

* relative energy among the computed polymorphs: 0.000 eV/atom
* DOS at the Fermi energy: 1.35 states/eV per cell
* SG: R-3m
* theoretical density: 5.9 g cm⁻³
* energy relative to the elements, uncorrected: -208.1 kJ/mol of formula units
* crystal system: trigonal
* size of the total moment: 0.0 μB per cell

a b c (Å): 11.4430 11.4430 11.4430
angles (deg): 17.08 17.08 17.08
With the nearest neighbours (Å) after each atom.
Fractional coordinates of all 4 atoms:
Zn 0.0000 0.0000 0.0000  6 Zn 3.40, 2 Br 3.70
Hf 0.5000 0.5000 0.5000  6 Br 2.76
Br 0.8906 0.8906 0.8906  3 Hf 2.76
Br 0.1094 0.1094 0.1094  3 Hf 2.76

---

Record 4
The following is a DFT calculation (PBE) of a relaxed HfZnBr2 crystal.

* relative energy among the computed polymorphs: 0.595 eV/atom
* DOS at the Fermi energy: 3.25 states/eV per cell
* SG: Fm-3m
* theoretical density: 7.9 g cm⁻³
* energy relative to the elements, uncorrected: 21.4 kJ/mol of formula units
* crystal system: cubic
* size of the total moment: 1.3 μB per cell

a b c (Å): 4.9249 4.9249 4.9249
angles (deg): 60.00 60.00 60.00
With the nearest neighbours (Å) after each atom.
Fractional coordinates of all 4 atoms:
Zn 0.0000 0.0000 0.0000  8 Br 3.02
Hf 0.5000 0.5000 0.5000  8 Br 3.02
Br 0.2500 0.2500 0.2500  4 Hf 3.02, 4 Zn 3.02
Br 0.7500 0.7500 0.7500  4 Zn 3.02, 4 Hf 3.02

---

Record 5
The following is a DFT calculation (PBE) of a relaxed Hf3ZrBr crystal.

* relative energy among the computed polymorphs: 0.803 eV/atom
* DOS at the Fermi energy: 7.88 states/eV per cell
* SG: Pm-3m
* theoretical density: 8.2 g cm⁻³
* energy relative to the elements, uncorrected: 603.8 kJ/mol of formula units
* crystal system: cubic
* size of the total moment: 0.0 μB per cell

a b c (Å): 5.2285 5.2285 5.2285
angles (deg): 90.00 90.00 90.00
With the nearest neighbours (Å) after each atom.
Fractional coordinates of all 5 atoms:
Hf 0.0000 0.5000 0.0000  2 Zr 2.61
Hf 0.0000 0.0000 0.5000  2 Zr 2.61
Hf 0.5000 0.0000 0.0000  2 Zr 2.61
Br 0.5000 0.5000 0.5000  12 Hf 3.70
Zr 0.0000 0.0000 0.0000  6 Hf 2.61

---

Record 6
The following is a DFT calculation (PBE) of a relaxed Hf2ZrBr crystal.

* relative energy among the computed polymorphs: 0.047 eV/atom
* DOS at the Fermi energy: 4.84 states/eV per cell
* SG: Fm-3m
* theoretical density: 9.9 g cm⁻³
* energy relative to the elements, uncorrected: 182.3 kJ/mol of formula units
* crystal system: cubic
* size of the total moment: 0.0 μB per cell

a b c (Å): 4.9969 4.9969 4.9969
angles (deg): 60.00 60.00 60.00
With the nearest neighbours (Å) after each atom.
Fractional coordinates of all 4 atoms:
Hf 0.2500 0.2500 0.2500  4 Zr 3.06, 4 Br 3.06
Hf 0.7500 0.7500 0.7500  4 Br 3.06, 4 Zr 3.06
Br 0.0000 0.0000 0.0000  8 Hf 3.06
Zr 0.5000 0.5000 0.5000  8 Hf 3.06

---

Record 7
The following is a DFT calculation (PBE) of a relaxed HfZrBr3 crystal.

* relative energy among the computed polymorphs: 0.000 eV/atom
* DOS at the Fermi energy: 5.44 states/eV per cell
* SG: Pm-3m
* theoretical density: 5.9 g cm⁻³
* energy relative to the elements, uncorrected: 82.1 kJ/mol of formula units
* crystal system: cubic
* size of the total moment: 3.4 μB per cell

a b c (Å): 5.2434 5.2434 5.2434
angles (deg): 90.00 90.00 90.00
With the nearest neighbours (Å) after each atom.
Fractional coordinates of all 5 atoms:
Hf 0.0000 0.0000 0.0000  6 Br 2.62
Br 0.0000 0.5000 0.0000  2 Hf 2.62
Br 0.0000 0.0000 0.5000  2 Hf 2.62
Br 0.5000 0.0000 0.0000  2 Hf 2.62
Zr 0.5000 0.5000 0.5000  12 Br 3.71

---

Record 8
The following is a DFT calculation (PBE) of a relaxed HfZrBr3 crystal.

* relative energy among the computed polymorphs: 0.037 eV/atom
* DOS at the Fermi energy: 7.29 states/eV per cell
* SG: Pm-3m
* theoretical density: 5.5 g cm⁻³
* energy relative to the elements, uncorrected: 99.8 kJ/mol of formula units
* crystal system: cubic
* size of the total moment: 1.8 μB per cell

a b c (Å): 5.3568 5.3568 5.3568
angles (deg): 90.00 90.00 90.00
With the nearest neighbours (Å) after each atom.
Fractional coordinates of all 5 atoms:
Hf 0.5000 0.5000 0.5000  12 Br 3.79
Br 0.0000 0.5000 0.0000  2 Zr 2.68
Br 0.0000 0.0000 0.5000  2 Zr 2.68
Br 0.5000 0.0000 0.0000  2 Zr 2.68
Zr 0.0000 0.0000 0.0000  6 Br 2.68